No. 1
This record from Alexandria via LeMat-Bulk describes a geometry-optimized CoAg2W structure. The functional is PBE.

Calculated values
* formation energy from the elements: 0.951 eV per atom

Cell: 6.2850 6.2850 6.2850 Å, 90.00 90.00 90.00°
With the nearest neighbours (Å) after each atom.
Space group Fm-3m (No. 225)
Asymmetric unit:
Co: 0.0000 0.0000 0.0000 (multiplicity 4)  8 Ag 2.72
Ag: 0.2500 0.2500 0.2500 (multiplicity 8)  4 W 2.72, 4 Co 2.72
W: 0.0000 0.0000 0.5000 (multiplicity 4)  8 Ag 2.72



No. 2
This record from Alexandria via LeMat-Bulk describes a geometry-optimized InCuTc2Se structure. The functional is PBE.

Calculated values
* formation energy from raw total energies: 1273 meV/atom

Cell: 4.8273 4.8273 4.4004 Å, 90.00 90.00 90.00°
With the nearest neighbours (Å) after each atom.
Space group P4/mmm (No. 123)
Asymmetric unit:
In: 0.0000 0.0000 0.0000 (multiplicity 1)  8 Tc 3.27, 4 Se 3.41
Cu: 0.5000 0.5000 0.5000 (multiplicity 1)  2 Se 2.20, 4 Tc 2.41
Tc: 0.0000 0.5000 0.5000 (multiplicity 2)  2 Cu 2.41
Se: 0.5000 0.5000 0.0000 (multiplicity 1)  2 Cu 2.20



Results for energy: -5.49, -4.94 (in eV per atom, following the order of the records).